# 1
MgHg2Bi | PBE | relaxed

Results
For the energy of formation from the pure elements, the calculation gives -0.02 eV per atom.

Cell lengths 3.464, 3.464, 10.327 Å; angles 90.00, 90.00, 120.00 degrees
Fractional coordinates of all 4 atoms:
1 Mg 0.000 0.000 0.000
2 Hg 0.333 0.667 0.209
3 Hg 0.333 0.667 0.791
4 Bi 0.333 0.667 0.500

---

# 2
AcAs2IrRh2 | PBE | relaxed

Results
For the energy of formation from the pure elements, the calculation gives -0.49 eV per atom.

Cell lengths 5.218, 11.985, 4.217 Å; angles 90.00, 90.00, 90.00 degrees
Fractional coordinates of all 12 atoms:
1 Ac 0.000 0.000 0.000
2 Ac 0.500 0.500 0.500
3 As 0.149 0.309 0.000
4 As 0.351 0.809 0.500
5 As 0.649 0.191 0.500
6 As 0.851 0.691 0.000
7 Ir 0.000 0.500 0.000
8 Ir 0.500 0.000 0.500
9 Rh 0.063 0.658 0.500
10 Rh 0.437 0.158 0.000
11 Rh 0.563 0.842 0.000
12 Rh 0.937 0.342 0.500

---

# 3
Ce2PmSnN5 | PBE | relaxed

Results
The uncorrected energy comes out at -7.86 eV/atom.

Cell lengths 7.285, 7.285, 11.408 Å; angles 90.00, 90.00, 151.68 degrees
Fractional coordinates of all 18 atoms:
1 Ce 0.138 0.862 0.508
2 Ce 0.138 0.862 0.992
3 Ce 0.862 0.138 0.008
4 Ce 0.862 0.138 0.492
5 Pm 0.271 0.729 0.750
6 Pm 0.729 0.271 0.250
7 Sn 0.491 0.509 0.250
8 Sn 0.509 0.491 0.750
9 N 0.088 0.912 0.750
10 N 0.272 0.728 0.099
11 N 0.272 0.728 0.401
12 N 0.411 0.589 0.610
13 N 0.411 0.589 0.890
14 N 0.589 0.411 0.110
15 N 0.589 0.411 0.390
16 N 0.728 0.272 0.599
17 N 0.728 0.272 0.901
18 N 0.912 0.088 0.250

---

# 4
Er3Tm2Sc2 | PBE | relaxed

Results
For the energy of formation from the pure elements, the calculation gives 0.04 eV per atom. For the excess energy over the best structure of this formula in the dataset, the calculation gives 0 meV/atom.

Cell lengths 11.793, 11.793, 3.410 Å; angles 90.00, 90.00, 154.88 degrees
Fractional coordinates of all 7 atoms:
1 Er 0.000 0.000 0.000
2 Er 0.156 0.844 0.000
3 Er 0.844 0.156 0.000
4 Tm 0.425 0.575 0.500
5 Tm 0.575 0.425 0.500
6 Sc 0.284 0.716 0.500
7 Sc 0.716 0.284 0.500

---

# 5
LaTlSb2 | PBE | relaxed

Results
For the excess energy over the best structure of this formula in the dataset, the calculation gives 55 meV/atom.

Cell lengths 5.946, 5.946, 5.946 Å; angles 131.11, 131.11, 71.65 degrees
Fractional coordinates of all 4 atoms:
1 La 0.000 0.000 0.000
2 Tl 0.500 0.500 0.000
3 Sb 0.250 0.750 0.500
4 Sb 0.750 0.250 0.500

---

# 6
GaSiN | PBE | relaxed

Results
For the excess energy over the best structure of this formula in the dataset, the calculation gives 0 meV/atom.

Cell lengths 6.721, 6.721, 6.721 Å; angles 155.03, 49.47, 138.02 degrees
Fractional coordinates of all 6 atoms:
1 Ga 0.000 0.000 0.000
2 Ga 0.514 0.014 0.500
3 Si 0.314 0.122 0.193
4 Si 0.929 0.122 0.807
5 N 0.086 0.813 0.273
6 N 0.540 0.813 0.727

---

# 7
Dy12Sc6Cd | PBE | relaxed

Results
For the energy of formation from the pure elements, the calculation gives 0.11 eV per atom.

Cell lengths 8.235, 8.235, 8.235 Å; angles 88.20, 88.20, 88.20 degrees
Fractional coordinates of all 19 atoms:
1 Dy 0.039 0.933 0.289
2 Dy 0.067 0.711 0.961
3 Dy 0.132 0.489 0.330
4 Dy 0.289 0.039 0.933
5 Dy 0.330 0.132 0.489
6 Dy 0.489 0.330 0.132
7 Dy 0.511 0.670 0.868
8 Dy 0.670 0.868 0.511
9 Dy 0.711 0.961 0.067
10 Dy 0.868 0.511 0.670
11 Dy 0.933 0.289 0.039
12 Dy 0.961 0.067 0.711
13 Sc 0.224 0.757 0.600
14 Sc 0.243 0.400 0.776
15 Sc 0.400 0.776 0.243
16 Sc 0.600 0.224 0.757
17 Sc 0.757 0.600 0.224
18 Sc 0.776 0.243 0.400
19 Cd 0.500 0.500 0.500

---

# 8
SrIrAu2 | PBE | relaxed

Results
For the energy of formation from the pure elements, the calculation gives 0.02 eV per atom. For the excess energy over the best structure of this formula in the dataset, the calculation gives 222 meV/atom.

Cell lengths 5.951, 5.951, 5.951 Å; angles 147.16, 130.53, 60.65 degrees
Fractional coordinates of all 4 atoms:
1 Sr 0.000 0.000 0.000
2 Ir 0.500 0.500 0.000
3 Au 0.290 0.790 0.500
4 Au 0.710 0.210 0.500

---

# 9
TiAlBr2 | PBE | relaxed

Results
For the excess energy over the best structure of this formula in the dataset, the calculation gives 476 meV/atom.

Cell lengths 5.009, 5.009, 5.009 Å; angles 60.00, 60.00, 60.00 degrees
Fractional coordinates of all 4 atoms:
1 Ti 0.000 0.000 0.000
2 Al 0.500 0.500 0.500
3 Br 0.250 0.250 0.250
4 Br 0.750 0.750 0.750

---

# 10
La4Hg2H | PBE | relaxed

Results
The uncorrected energy comes out at -3.73 eV/atom.

Cell lengths 9.002, 9.002, 9.002 Å; angles 148.18, 148.18, 45.63 degrees
Fractional coordinates of all 7 atoms:
1 La 0.000 0.500 0.500
2 La 0.185 0.185 0.000
3 La 0.500 0.000 0.500
4 La 0.815 0.815 0.000
5 Hg 0.368 0.368 0.000
6 Hg 0.632 0.632 0.000
7 H 0.000 0.000 0.000

---

# 11
InWBr2 | PBE | relaxed

Results
For the excess energy over the best structure of this formula in the dataset, the calculation gives 0 meV/atom.

Cell lengths 4.605, 3.308, 7.915 Å; angles 90.00, 106.63, 90.00 degrees
Fractional coordinates of all 4 atoms:
1 In 0.000 0.000 0.000
2 W 0.474 0.500 0.948
3 Br 0.343 0.000 0.682
4 Br 0.641 0.500 0.280

---

# 12
NaMgBi2 | PBE | relaxed

Results
For the energy of formation from the pure elements, the calculation gives -0.19 eV per atom. For the excess energy over the best structure of this formula in the dataset, the calculation gives 13 meV/atom.

Cell lengths 5.294, 5.294, 5.761 Å; angles 104.33, 104.33, 48.09 degrees
Fractional coordinates of all 4 atoms:
1 Na 0.000 0.000 0.000
2 Mg 0.500 0.500 0.500
3 Bi 0.247 0.247 0.727
4 Bi 0.753 0.753 0.273

---

# 13
LiPd2Se2 | PBE | relaxed

Results
For the excess energy over the best structure of this formula in the dataset, the calculation gives 0 meV/atom.

Cell lengths 5.445, 5.445, 5.445 Å; angles 126.54, 126.54, 79.00 degrees
Fractional coordinates of all 5 atoms:
1 Li 0.000 0.000 0.000
2 Pd 0.331 0.331 0.000
3 Pd 0.669 0.669 0.000
4 Se 0.250 0.750 0.500
5 Se 0.750 0.250 0.500

---

# 14
AlWSeN2 | PBE | relaxed

Results
For the excess energy over the best structure of this formula in the dataset, the calculation gives 0 meV/atom.

Cell lengths 3.920, 3.920, 5.273 Å; angles 90.00, 90.00, 90.00 degrees
Fractional coordinates of all 5 atoms:
1 Al 0.000 0.000 0.000
2 W 0.500 0.500 0.500
3 Se 0.500 0.500 0.000
4 N 0.000 0.500 0.500
5 N 0.500 0.000 0.500

---

# 15
PrCdPd | PBE | relaxed

Results
For the energy of formation from the pure elements, the calculation gives -0.51 eV per atom.

Cell lengths 5.688, 5.688, 5.688 Å; angles 141.59, 141.59, 55.44 degrees
Fractional coordinates of all 3 atoms:
1 Pr 0.000 0.000 0.000
2 Cd 0.693 0.693 0.000
3 Pd 0.335 0.335 0.000

---

# 16
Pu4AgPb3 | PBE | relaxed

Results
For the energy of formation from the pure elements, the calculation gives 0.00 eV per atom.

Cell lengths 4.618, 4.810, 9.620 Å; angles 90.00, 90.00, 90.00 degrees
Fractional coordinates of all 8 atoms:
1 Pu 0.000 0.000 0.000
2 Pu 0.000 0.000 0.500
3 Pu 0.000 0.500 0.235
4 Pu 0.000 0.500 0.765
5 Ag 0.500 0.500 0.000
6 Pb 0.500 0.000 0.240
7 Pb 0.500 0.000 0.760
8 Pb 0.500 0.500 0.500

---

# 17
PdI2Br2 | PBE | relaxed

Results
The uncorrected energy comes out at -2.42 eV/atom.

Cell lengths 7.745, 7.810, 7.843 Å; angles 76.28, 61.77, 60.92 degrees
Fractional coordinates of all 10 atoms:
1 Pd 0.007 0.001 0.243
2 Pd 0.993 0.999 0.757
3 I 0.124 0.747 0.501
4 I 0.134 0.732 0.002
5 I 0.866 0.268 0.998
6 I 0.876 0.253 0.499
7 Br 0.253 0.290 0.789
8 Br 0.465 0.281 0.208
9 Br 0.535 0.719 0.792
10 Br 0.747 0.710 0.211

---

# 18
Al2TcW | PBE | relaxed

Results
For the energy of formation from the pure elements, the calculation gives -0.01 eV per atom. For the excess energy over the best structure of this formula in the dataset, the calculation gives 301 meV/atom.

Cell lengths 4.885, 4.885, 2.761 Å; angles 90.00, 90.00, 113.73 degrees
Fractional coordinates of all 4 atoms:
1 Al 0.000 0.500 0.000
2 Al 0.500 0.000 0.000
3 Tc 0.000 0.000 0.500
4 W 0.500 0.500 0.500

---

# 19
Pr8InSb5 | PBE | relaxed

Results
The uncorrected energy comes out at -5.35 eV/atom.

Cell lengths 8.322, 8.322, 8.322 Å; angles 109.57, 109.57, 109.28 degrees
Fractional coordinates of all 14 atoms:
1 Pr 0.014 0.621 0.745
2 Pr 0.233 0.486 0.108
3 Pr 0.378 0.126 0.892
4 Pr 0.379 0.124 0.393
5 Pr 0.514 0.622 0.747
6 Pr 0.731 0.986 0.607
7 Pr 0.874 0.767 0.253
8 Pr 0.876 0.269 0.255
9 In 0.000 0.000 0.000
10 Sb 0.126 0.248 0.626
11 Sb 0.250 0.750 0.500
12 Sb 0.500 0.874 0.122
13 Sb 0.622 0.500 0.374
14 Sb 0.752 0.378 0.878